P:
A relaxed structure of Sm2SbPb. Source: Alexandria, functional PBE.

Unit cell a=3.813 b=3.813 c=8.125 alpha=90.00 beta=90.00 gamma=90.00
Atoms (fractional coordinates):
Sm 0.000 0.000 0.228
Sm 0.000 0.000 0.772
Sb 0.500 0.500 0.000
Pb 0.500 0.500 0.500

Values from the calculation:
* theoretical density: 8.85 g/cm³

---

Q:
A relaxed structure of Sm2SbPb. Source: Alexandria, functional PBE.

Unit cell a=7.519 b=4.345 c=8.267 alpha=90.00 beta=107.70 gamma=90.00
Atoms (fractional coordinates):
Sm 0.245 0.000 0.236
Sm 0.255 0.500 0.764
Sm 0.745 0.500 0.236
Sm 0.755 0.000 0.764
Sb 0.000 0.500 0.000
Sb 0.500 0.000 0.000
Pb 0.000 0.000 0.500
Pb 0.500 0.500 0.500

Values from the calculation:
* theoretical density: 8.13 g/cm³

---

R:
A relaxed structure of Sm2SbPb. Source: Alexandria, functional PBE.

Unit cell a=5.891 b=5.891 c=3.322 alpha=90.00 beta=90.00 gamma=90.00
Atoms (fractional coordinates):
Sm 0.000 0.500 0.000
Sm 0.500 0.000 0.000
Sb 0.000 0.000 0.500
Pb 0.500 0.500 0.500

Values from the calculation:
* theoretical density: 9.07 g/cm³

---

Q has the most favorable energy; the next structure is 12.6 kJ/mol of atoms above.

---

P:
A relaxed structure of SmSbPb2. Source: Alexandria, functional PBE.

Unit cell a=4.667 b=4.667 c=5.367 alpha=90.00 beta=90.00 gamma=90.00
Atoms (fractional coordinates):
Sm 0.000 0.000 0.000
Sb 0.500 0.500 0.000
Pb 0.000 0.500 0.500
Pb 0.500 0.000 0.500

Values from the calculation:
* theoretical density: 9.75 g/cm³

---

Q:
A relaxed structure of SmSbPb2. Source: Alexandria, functional PBE.

Unit cell a=3.583 b=3.583 c=34.955 alpha=90.00 beta=90.00 gamma=120.00
Atoms (fractional coordinates):
Sm 0.000 0.000 0.000
Sm 0.333 0.667 0.667
Sm 0.667 0.333 0.333
Sb 0.000 0.000 0.500
Sb 0.333 0.667 0.167
Sb 0.667 0.333 0.833
Pb 0.000 0.000 0.092
Pb 0.000 0.000 0.908
Pb 0.333 0.667 0.574
Pb 0.333 0.667 0.759
Pb 0.667 0.333 0.241
Pb 0.667 0.333 0.426

Values from the calculation:
* theoretical density: 8.80 g/cm³

---

P has the most favorable energy; the next structure is 56.1 kJ/mol of atoms above.

---

P:
A relaxed structure of SmSb2Pb. Source: Alexandria, functional PBE.

Unit cell a=4.609 b=4.609 c=22.005 alpha=90.00 beta=90.00 gamma=120.00
Atoms (fractional coordinates):
Sm 0.000 0.000 0.000
Sm 0.333 0.667 0.667
Sm 0.667 0.333 0.333
Sb 0.000 0.000 0.411
Sb 0.000 0.000 0.589
Sb 0.333 0.667 0.078
Sb 0.333 0.667 0.256
Sb 0.667 0.333 0.744
Sb 0.667 0.333 0.922
Pb 0.000 0.000 0.829
Pb 0.333 0.667 0.495
Pb 0.667 0.333 0.162

Values from the calculation:
* theoretical density: 7.40 g/cm³

---

Q:
A relaxed structure of SmSb2Pb. Source: Alexandria, functional PBE.

Unit cell a=4.188 b=4.188 c=6.635 alpha=90.00 beta=90.00 gamma=90.00
Atoms (fractional coordinates):
Sm 0.000 0.000 0.000
Sb 0.500 0.500 0.232
Sb 0.500 0.500 0.768
Pb 0.000 0.000 0.500

Values from the calculation:
* theoretical density: 8.58 g/cm³

---

Q has the most favorable energy; the next structure is 8.3 kJ/mol of atoms above.

---

P:
A relaxed structure of SnSbPb2. Source: Alexandria, functional PBE.

Unit cell a=3.851 b=3.851 c=8.017 alpha=90.00 beta=90.00 gamma=90.00
Atoms (fractional coordinates):
Sn 0.000 0.000 0.000
Sb 0.000 0.000 0.500
Pb 0.500 0.500 0.260
Pb 0.500 0.500 0.740

Values from the calculation:
* theoretical density: 9.15 g/cm³

---

Q:
A relaxed structure of SnSbPb2. Source: Alexandria, functional PBE.

Unit cell a=4.368 b=4.368 c=23.549 alpha=90.00 beta=90.00 gamma=120.00
Atoms (fractional coordinates):
Sn 0.000 0.000 0.000
Sn 0.333 0.667 0.667
Sn 0.667 0.333 0.333
Sb 0.000 0.000 0.168
Sb 0.333 0.667 0.834
Sb 0.667 0.333 0.501
Pb 0.000 0.000 0.582
Pb 0.000 0.000 0.753
Pb 0.333 0.667 0.249
Pb 0.333 0.667 0.420
Pb 0.667 0.333 0.087
Pb 0.667 0.333 0.915

Values from the calculation:
* theoretical density: 8.39 g/cm³

---

R:
A relaxed structure of SnSbPb2. Source: Alexandria, functional PBE.

Unit cell a=6.354 b=6.354 c=6.321 alpha=90.00 beta=90.00 gamma=90.00
Atoms (fractional coordinates):
Sn 0.000 0.000 0.000
Sn 0.500 0.500 0.500
Sb 0.000 0.000 0.500
Sb 0.500 0.500 0.000
Pb 0.000 0.500 0.000
Pb 0.000 0.500 0.500
Pb 0.500 0.000 0.000
Pb 0.500 0.000 0.500

Values from the calculation:
* theoretical density: 8.52 g/cm³

---

P has the most favorable energy; the next structure is 2.9 kJ/mol of atoms above.

---

P:
A relaxed structure of SnSbPb2. Source: Alexandria, functional PBE.

Unit cell a=7.792 b=7.792 c=7.792 alpha=90.00 beta=90.00 gamma=90.00
Atoms (fractional coordinates):
Sn 0.000 0.000 0.000
Sn 0.000 0.500 0.500
Sn 0.500 0.000 0.500
Sn 0.500 0.500 0.000
Sb 0.000 0.000 0.500
Sb 0.000 0.500 0.000
Sb 0.500 0.000 0.000
Sb 0.500 0.500 0.500
Pb 0.250 0.250 0.250
Pb 0.250 0.250 0.750
Pb 0.250 0.750 0.250
Pb 0.250 0.750 0.750
Pb 0.750 0.250 0.250
Pb 0.750 0.250 0.750
Pb 0.750 0.750 0.250
Pb 0.750 0.750 0.750

Values from the calculation:
* theoretical density: 9.19 g/cm³

---

Q:
A relaxed structure of SnSbPb2. Source: Alexandria, functional PBE.

Unit cell a=3.359 b=3.359 c=37.475 alpha=90.00 beta=90.00 gamma=120.00
Atoms (fractional coordinates):
Sn 0.000 0.000 0.000
Sn 0.333 0.667 0.667
Sn 0.667 0.333 0.333
Sb 0.000 0.000 0.500
Sb 0.333 0.667 0.167
Sb 0.667 0.333 0.833
Pb 0.000 0.000 0.087
Pb 0.000 0.000 0.913
Pb 0.333 0.667 0.580
Pb 0.333 0.667 0.753
Pb 0.667 0.333 0.247
Pb 0.667 0.333 0.420

Values from the calculation:
* theoretical density: 8.91 g/cm³

---

R:
A relaxed structure of SnSbPb2. Source: Alexandria, functional PBE.

Unit cell a=5.245 b=5.245 c=4.351 alpha=90.00 beta=90.00 gamma=90.00
Atoms (fractional coordinates):
Sn 0.000 0.000 0.000
Sb 0.500 0.500 0.000
Pb 0.000 0.500 0.500
Pb 0.500 0.000 0.500

Values from the calculation:
* theoretical density: 9.09 g/cm³

---

S:
A relaxed structure of SnSbPb2. Source: Alexandria, functional PBE.

Unit cell a=7.570 b=4.593 c=7.894 alpha=90.00 beta=111.23 gamma=90.00
Atoms (fractional coordinates):
Sn 0.000 0.000 0.000
Sn 0.500 0.500 0.000
Sb 0.000 0.500 0.500
Sb 0.500 0.000 0.500
Pb 0.250 0.000 0.747
Pb 0.250 0.500 0.253
Pb 0.750 0.000 0.253
Pb 0.750 0.500 0.747

Values from the calculation:
* theoretical density: 8.50 g/cm³

---

R has the most favorable energy; the next structure is 2.7 kJ/mol of atoms above.

---

P:
A relaxed structure of Sn3SbPb. Source: Alexandria, functional PBE.

Unit cell a=5.756 b=5.756 c=5.756 alpha=90.00 beta=90.00 gamma=90.00
Atoms (fractional coordinates):
Sn 0.000 0.000 0.500
Sn 0.000 0.500 0.000
Sn 0.500 0.000 0.000
Sb 0.500 0.500 0.500
Pb 0.000 0.000 0.000

Values from the calculation:
* theoretical density: 5.96 g/cm³

---

Q:
A relaxed structure of Sn3SbPb. Source: Alexandria, functional PBE.

Unit cell a=5.732 b=5.732 c=5.732 alpha=90.00 beta=90.00 gamma=90.00
Atoms (fractional coordinates):
Sn 0.000 0.000 0.500
Sn 0.000 0.500 0.000
Sn 0.500 0.000 0.000
Sb 0.000 0.000 0.000
Pb 0.500 0.500 0.500

Values from the calculation:
* theoretical density: 6.04 g/cm³

---

Q has the most favorable energy; the next structure is 18.9 kJ/mol of atoms above.